Computed, not measured: LiGa2Hg2 after structural relaxation at the GGA-PBE level of DFT.

Summary:
The value obtained for the formation energy is -21.6 kJ/mol of formula units. The value obtained for the theoretical density is 8.39 g/cm³. Its energy above the most stable polymorph in this dataset is 0.0582 eV per atom. Its density of states at the Fermi level is 4.0 states/eV/cell.

Lattice parameters (Å, degrees): 7.5074 7.5074 3.8451 90.00 90.00 90.00
Last column: nearest neighbours and their distance in Å.
Atoms (fractional coordinates):
Li  0.0000  0.0000  0.0000  4 Ga 2.95
Li  0.5000  0.5000  0.0000  4 Ga 2.95
Ga  0.1278  0.3722  0.0000  1 Ga 2.71, 6 Hg 2.81-3.02, 2 Li 2.95
Ga  0.3722  0.8722  0.0000  1 Ga 2.71, 6 Hg 2.81-3.02, 2 Li 2.95
Ga  0.6278  0.1278  0.0000  1 Ga 2.71, 6 Hg 2.81-3.02, 2 Li 2.95
Ga  0.8722  0.6278  0.0000  1 Ga 2.71, 6 Hg 2.81-3.02, 2 Li 2.95
Hg  0.1787  0.6787  0.5000  6 Ga 2.81-3.02
Hg  0.3213  0.1787  0.5000  6 Ga 2.81-3.02
Hg  0.6787  0.8213  0.5000  6 Ga 2.81-3.02
Hg  0.8213  0.3213  0.5000  6 Ga 2.81-3.02


Computed, not measured: Pm2TlPb after structural relaxation at the GGA-PBE level of DFT.

Summary:
The value obtained for the formation energy is -95.3 kJ/mol of formula units. The value obtained for the theoretical density is 8.42 g/cm³. Its energy above the most stable polymorph in this dataset is 0.2230 eV per atom. Its density of states at the Fermi level is 4.5 states/eV/cell.

Lattice parameters (Å, degrees): 7.7367 7.7367 7.7367 35.32 35.32 35.32
Last column: nearest neighbours and their distance in Å.
Atoms (fractional coordinates):
Pm  0.0000  0.0000  0.0000  3 Pb 3.15, 3 Tl 3.37
Pm  0.1817  0.1817  0.1817  3 Pb 3.19, 3 Tl 3.33
Tl  0.7592  0.7592  0.7592  6 Pm 3.33-3.37, 1 Pb 3.62
Pb  0.5928  0.5928  0.5928  6 Pm 3.15-3.19


> What is the formula in the first record?

LiGa2Hg2


Copy entry 2 word for word.
Computed, not measured: Pm2TlPb after structural relaxation at the GGA-PBE level of DFT.

Summary:
The value obtained for the formation energy is -95.3 kJ/mol of formula units. The value obtained for the theoretical density is 8.42 g/cm³. Its energy above the most stable polymorph in this dataset is 0.2230 eV per atom. Its density of states at the Fermi level is 4.5 states/eV/cell.

Lattice parameters (Å, degrees): 7.7367 7.7367 7.7367 35.32 35.32 35.32
Last column: nearest neighbours and their distance in Å.
Atoms (fractional coordinates):
Pm  0.0000  0.0000  0.0000  3 Pb 3.15, 3 Tl 3.37
Pm  0.1817  0.1817  0.1817  3 Pb 3.19, 3 Tl 3.33
Tl  0.7592  0.7592  0.7592  6 Pm 3.33-3.37, 1 Pb 3.62
Pb  0.5928  0.5928  0.5928  6 Pm 3.15-3.19


> Number 2 is which compound?

Pm2TlPb